SrFe2P4O14: optimized geometry, PBE+U.

```
21
Lattice="4.8347 0.0000 0.0000 2.0000 6.8100 0.0000 0.4304 -0.0672 7.8999" Properties=species:S:1:pos:R:3 pbc="T T T"
Sr 0.0000 0.0000 0.0000
Fe 0.2152 -0.0336 3.9499
Fe 3.4173 3.4050 0.0000
P 0.9838 2.5743 1.9780
P 2.6284 1.5006 5.4995
P 4.6366 5.2423 2.4004
P 6.2812 4.1686 5.9219
O 1.0100 1.2783 2.7603
O 2.3105 4.3772 7.1950
O 1.3602 0.6133 5.5400
O 2.1589 3.0024 5.0845
O 2.3952 3.0100 1.6302
O 3.6227 5.5549 3.4758
O 3.1951 1.5474 6.9516
O 4.0699 5.1955 0.9483
O 3.6424 1.1879 4.4241
O 4.8698 3.7328 6.2697
O 5.1061 3.7405 2.8154
O 5.9048 6.1295 2.3599
O 4.9546 2.3657 0.7049
O 6.2550 5.4646 5.1396
```

* E_tot: -7.06 eV/atom
* symmetry: P-1, No. 2



TaFeP2O: optimized geometry, PBE+U.

```
5
Lattice="4.9444 0.0000 0.0000 0.0000 4.9444 0.0000 0.0000 0.0000 3.8532" Properties=species:S:1:pos:R:3 pbc="T T T"
Ta 0.0000 0.0000 0.0000
Fe 2.4722 2.4722 1.9266
P 0.0000 2.4722 0.0000
P 2.4722 0.0000 0.0000
O 0.0000 0.0000 1.9266
```

* polymorph energy (0 for the lowest one): 0.0000 eV/atom
* symmetry: P4/mmm, No. 123



TaFePO2: optimized geometry, PBE+U.

```
5
Lattice="3.8680 0.0000 0.0000 0.0000 3.8680 0.0000 0.0000 0.0000 5.2951" Properties=species:S:1:pos:R:3 pbc="T T T"
Ta 0.0000 0.0000 0.0000
Fe 1.9340 1.9340 2.6476
P 0.0000 0.0000 2.6476
O 0.0000 1.9340 0.0000
O 1.9340 0.0000 0.0000
```

* polymorph energy (0 for the lowest one): 0.0000 eV/atom
* symmetry: P4/mmm, No. 123